{"formula": "Ba6As2NF", "functional": "GGA-PBE", "state": "optimized geometry", "space_group": "C2/m", "mass_density_g_cm3": 4.87, "formation_energy_uncorrected_ev_per_fu": -11.2, "cell": [[7.148, 0.000, 0.324], [0.000, 7.490, 0.000], [-2.608, -3.745, 6.298]], "species": ["Ba", "Ba", "Ba", "Ba", "Ba", "Ba", "As", "As", "N", "F"], "frac_coords": [[0.320, 0.696, 0.392], [0.196, 0.181, 0.857], [0.804, 0.324, 0.143], [0.196, 0.676, 0.857], [0.804, 0.819, 0.143], [0.680, 0.304, 0.608], [0.185, 0.211, 0.422], [0.815, 0.789, 0.578], [0.000, 0.500, 0.000], [0.500, 0.000, 0.000]]}


{"formula": "TlGeW2I", "functional": "GGA-PBE", "state": "optimized geometry", "space_group": "P4/mmm", "mass_density_g_cm3": 7.49, "formation_energy_uncorrected_ev_per_fu": 13.7, "cell": [[-1.169, -3.842, -3.459], [5.943, -1.059, -0.832], [-0.077, -3.533, 3.950]], "species": ["I", "Tl", "Ge", "W", "W"], "frac_coords": [[0.000, 0.500, 0.000], [0.000, 0.000, 0.000], [0.500, 0.500, 0.500], [0.000, 0.000, 0.500], [0.500, 0.000, 0.000]]}


{"formula": "YMnW2", "functional": "GGA-PBE", "state": "optimized geometry", "space_group": "C2/m", "mass_density_g_cm3": 12.21, "delta_e_f_ev_per_atom": 0.60, "cell": [[-4.051, 3.375, 1.710], [2.591, -3.385, 3.543], [1.528, 1.886, 1.418]], "species": ["Mn", "W", "W", "Y"], "frac_coords": [[0.000, 0.500, 0.500], [0.000, 0.000, 0.000], [0.500, 0.500, 0.000], [0.500, 0.000, 0.500]]}


{"formula": "Li2TcPt", "functional": "GGA-PBE", "state": "optimized geometry", "space_group": "P4/mmm", "mass_density_g_cm3": 8.69, "delta_e_f_ev_per_atom": 0.07, "cell": [[-3.805, 1.742, -0.853], [0.533, -0.607, -3.617], [-1.597, -3.329, 0.324]], "species": ["Li", "Li", "Pt", "Tc"], "frac_coords": [[0.000, 0.000, 0.000], [0.000, 0.500, 0.500], [0.500, 0.500, 0.000], [0.500, 0.000, 0.500]]}


{"formula": "RbThAg2S4", "functional": "GGA-PBE", "state": "optimized geometry", "space_group": "I222", "mass_density_g_cm3": 5.25, "formation_energy_uncorrected_ev_per_fu": -6.7, "cell": [[-1.402, 2.859, -6.312], [-4.729, -2.208, -3.909], [-4.873, 4.225, -0.963]], "species": ["Rb", "Th", "Ag", "Ag", "S", "S", "S", "S"], "frac_coords": [[0.000, 0.000, 0.000], [0.500, 0.500, 0.500], [0.249, 0.251, 0.251], [0.751, 0.749, 0.749], [0.481, 0.090, 0.519], [0.090, 0.910, 0.481], [0.910, 0.519, 0.090], [0.519, 0.481, 0.910]]}


{"formula": "HoThMn4", "functional": "GGA-PBE", "state": "optimized geometry", "space_group": "F-43m", "mass_density_g_cm3": 10.24, "delta_e_f_ev_per_atom": 0.08, "cell": [[-4.221, -1.403, -2.712], [0.219, -4.079, -3.234], [-2.514, -4.405, 1.189]], "species": ["Mn", "Mn", "Mn", "Mn", "Ho", "Th"], "frac_coords": [[0.626, 0.626, 0.123], [0.626, 0.123, 0.626], [0.626, 0.626, 0.626], [0.123, 0.626, 0.626], [0.000, 0.000, 0.000], [0.250, 0.250, 0.250]]}